1.
## K3LaEr2Se6 (PBE-GGA)

Data for a relaxed K3LaEr2Se6 crystal.

The structure in POSCAR format:
```
K3LaEr2Se6
1.0
7.393 -0.001 -0.001
-3.696 6.403 -0.001
-1.234 -2.137 7.686
La K Se Er
1 3 6 2
direct
0.000 0.000 0.000
0.165 0.835 0.500
0.835 0.165 0.500
0.500 0.500 0.500
0.278 0.278 0.794
0.722 0.722 0.206
0.416 0.069 0.206
0.931 0.584 0.794
0.069 0.416 0.206
0.584 0.931 0.794
0.667 0.333 0.000
0.333 0.667 0.000
```

Summary:
- symmetry = C2/m
- calculated total energy (eV per atom) = -4.964

2.
## NpGeTe2 (PBE-GGA)

Data for a relaxed NpGeTe2 crystal.

The structure in POSCAR format:
```
NpGeTe2
1.0
4.211 0.000 0.000
2.106 3.647 0.000
2.106 1.216 7.603
Te Np Ge
2 1 1
direct
0.745 0.745 0.766
0.255 0.255 0.234
0.500 0.500 0.500
0.000 0.000 0.000
```

Summary:
- symmetry = R-3m
- ΔE to the lowest computed polymorph (meV/atom) = 0

3.
## Mn2CrCdN (PBE-GGA)

Data for a relaxed Mn2CrCdN crystal.

The structure in POSCAR format:
```
Mn2CrCdN
1.0
-0.650 2.058 -3.471
-2.161 -3.147 -1.461
-3.185 1.498 1.484
Mn Cr Cd N
2 1 1 1
direct
0.000 0.500 0.000
0.500 0.000 0.000
0.000 0.000 0.500
0.500 0.500 0.500
0.000 0.000 0.000
```

Summary:
- symmetry = P4/mmm
- calculated total energy (eV per atom) = -7.498

4.
## AlAuS2 (PBE-GGA)

Data for a relaxed AlAuS2 crystal.

The structure in POSCAR format:
```
AlAuS2
1.0
5.081 0.000 0.000
0.000 5.081 0.000
2.541 2.541 5.535
Au Al S
2 2 4
direct
0.750 0.250 0.500
0.000 0.000 0.000
0.250 0.750 0.500
0.500 0.500 0.000
0.469 0.969 0.062
0.281 0.281 0.438
0.031 0.531 0.938
0.719 0.719 0.562
```

Summary:
- symmetry = I4_1/amd
- calculated total energy (eV per atom) = -4.225

5.
## Zr2TeAs (PBE-GGA)

Data for a relaxed Zr2TeAs crystal.

The structure in POSCAR format:
```
Zr2TeAs
1.0
3.461 0.000 0.000
0.000 3.469 0.015
0.000 3.442 6.989
As Zr Te
1 2 1
direct
0.500 0.250 0.250
0.000 0.518 0.482
0.000 0.982 0.018
0.500 0.750 0.750
```

Summary:
- symmetry = P4/mmm
- ΔE to the lowest computed polymorph (meV/atom) = 172

6.
## BaMnRh (PBE-GGA)

Data for a relaxed BaMnRh crystal.

The structure in POSCAR format:
```
BaMnRh
1.0
-1.852 2.798 2.485
-4.448 -6.659 7.508
2.205 1.929 2.975
Mn Rh Ba
2 2 2
direct
0.163 0.674 0.249
0.830 0.674 0.916
0.418 0.797 0.625
0.575 0.551 0.541
0.633 0.981 0.021
0.027 0.368 0.813
```

Summary:
- symmetry = P1
- formation enthalpy at 0 K (kJ/mol of formula units) = -11

Number 1: Fermi-level density of states 0.0 states/eV/cell, theoretical density 4.9 Mg/m³. Number 2: Fermi-level density of states 11.8 states/eV/cell, theoretical density 8.0 Mg/m³. Number 3: Fermi-level density of states 2.3 states/eV/cell, theoretical density 7.5 Mg/m³. Number 4: Fermi-level density of states 1.0 states/eV/cell, theoretical density 6.7 Mg/m³. Number 5: Fermi-level density of states 2.4 states/eV/cell, theoretical density 7.6 Mg/m³. Number 6: Fermi-level density of states 1.0 states/eV/cell, theoretical density 6.1 Mg/m³.